Computed, not measured: a geometry-optimized TiAuC2 structure at the PBE-GGA level of DFT.

a b c (Å): 4.7334 4.7334 6.0079
angles (deg): 66.80 66.80 90.00
Element x y z (fractional)
C: 0.6128 0.1250 0.2500
C: 0.1372 0.6250 0.2500
C: 0.3750 0.3872 0.7500
C: 0.8750 0.8628 0.7500
Au: 0.0000 0.0000 0.0000
Au: 0.7500 0.2500 0.5000
Ti: 0.5000 0.5000 0.0000
Ti: 0.2500 0.7500 0.5000

Results
**N(E_F)**: 5.550 states/eV/cell
**Energy above the most stable polymorph in this dataset**: 0.00 eV/f.u.
**Space group**: I-42d, No. 122
**Spin magnetization**: 0.00 μB/f.u.